{"formula": "Ba8Na2Ca", "functional": "PBE", "state": "optimized geometry", "cell": [[7.127, -0.227, -0.340], [-1.505, 10.200, -0.343], [-1.505, -4.245, 9.281]], "species": ["Ba", "Ba", "Ba", "Ba", "Ba", "Ba", "Ba", "Ba", "Na", "Na", "Ca"], "fractional_positions": [[0.680, 0.383, 0.383], [0.093, 0.079, 0.319], [0.500, 0.766, 0.234], [0.907, 0.681, 0.921], [0.093, 0.319, 0.079], [0.907, 0.921, 0.681], [0.320, 0.617, 0.617], [0.500, 0.234, 0.766], [0.000, 0.313, 0.687], [0.000, 0.687, 0.313], [0.500, 0.000, 0.000]], "delta_e_f_ev_per_atom": 0.09, "de_polymorph_ev_per_atom": 0.056, "total_magnetization_mub_per_cell": 0.000, "total_energy_ev_per_atom": -1.73}